18
Lattice="5.022 -0.030 0.015 -0.933 4.969 0.016 -1.479 -2.960 6.786" Properties=species:S:1:pos:R:3 comment="Li3Ni5O10 | Alexandria | PBE+U | optimized geometry" crystal_system=triclinic e_above_lowest_polymorph_mev_per_atom=92 e_tot_ev_per_atom=-4.701 pbc="T T T"
Li -0.395 3.315 2.838
Li 1.305 0.989 3.408
Li 3.004 -1.336 3.979
Ni -1.168 1.393 4.744
Ni -0.467 2.484 0.008
Ni 1.293 0.260 0.740
Ni 1.316 1.719 6.077
Ni 3.777 0.586 2.073
O -1.091 -2.182 5.753
O -0.502 0.021 3.645
O -0.476 0.785 6.384
O 0.258 1.687 1.612
O 0.436 2.342 4.537
O 2.173 -0.363 2.280
O 2.351 0.292 5.205
O 3.085 1.194 0.433
O 3.111 1.957 3.172
O 3.700 4.161 1.064